This record from Alexandria via LeMat-Bulk describes a relaxed structure of LiV2Te. The functional is PBE.

Values from the calculation:
The value obtained for the formation energy from raw total energies is 321 meV per atom. The symmetry is No. 122. The calculation puts the density of states at the Fermi level at 1.2236 states/eV per atom.

a b c (Å): 10.200 10.200 10.200
angles (deg): 159.13 159.13 29.68
Sites, in units of the cell vectors:
Li  0.000  0.000  0.000
Li  0.750  0.250  0.500
V  0.147  0.625  0.022
V  0.375  0.397  0.522
V  0.603  0.125  0.978
V  0.875  0.853  0.478
Te  0.250  0.750  0.500
Te  0.500  0.500  0.000